This record from the Alexandria database describes crystalline AcMg3Mo4O12 at its relaxed geometry. The functional is GGA+U.

electronic total energy	-0.257	hartree per atom

Unit cell a=7.8576 b=7.8576 c=7.8576 alpha=90.00 beta=90.00 gamma=90.00
Last column: nearest neighbours and their distance in Å.
Space group Im-3 (No. 204)
Unique sites:
Ac 0.0000 0.0000 0.0000  12 O 2.76
Mg 0.0000 0.0000 0.5000  4 O 2.07
Mo 0.2500 0.2500 0.2500  6 O 2.09
O 0.0000 0.3043 0.1759  1 Mg 2.07, 2 Mo 2.09